(1)
An optimized crystal structure of SrTeAs3. Source: Alexandria via LeMat-Bulk, functional GGA-PBE.

Cell lengths 5.3563, 5.3563, 5.3563 Å; angles 90.00, 90.00, 90.00 degrees
With the nearest neighbours (Å) after each atom.
Positions (direct):
Sr1 0.0000 0.0000 0.0000  12 As 3.79
Te1 0.5000 0.5000 0.5000  6 As 2.68
As1 0.0000 0.5000 0.5000  2 Te 2.68
As2 0.5000 0.0000 0.5000  2 Te 2.68
As3 0.5000 0.5000 0.0000  2 Te 2.68

Properties
- Raw formation energy: 0.19 eV/atom
- Space group: Pm-3m
- V: 30.735 Å³ per atom
- Distance to the lowest polymorph of the same formula: 0.000 eV/atom

---

(2)
An optimized crystal structure of MnSbTe2C. Source: Alexandria via LeMat-Bulk, functional GGA-PBE.

Cell lengths 4.9787, 4.9787, 4.9453 Å; angles 90.00, 90.00, 90.00 degrees
With the nearest neighbours (Å) after each atom.
Positions (direct):
Mn1 0.0000 0.0000 0.0000  2 Sb 2.47, 4 Te 2.49
Sb1 0.0000 0.0000 0.5000  2 Mn 2.47
Te1 0.0000 0.5000 0.0000  2 Mn 2.49
Te2 0.5000 0.0000 0.0000  2 Mn 2.49
C1 0.5000 0.5000 0.5000  8 Te 3.51, 4 Sb 3.52

Properties
- Raw formation energy: 1.68 eV/atom
- Space group: P4/mmm
- V: 24.516 Å³ per atom
- Distance to the lowest polymorph of the same formula: 0.599 eV/atom

---

(3)
An optimized crystal structure of Pm2Pr2Dy5. Source: Alexandria via LeMat-Bulk, functional GGA-PBE.

Cell lengths 10.1862, 10.1862, 10.1862 Å; angles 84.82, 108.12, 141.19 degrees
With the nearest neighbours (Å) after each atom.
Positions (direct):
Pm1 0.0024 0.1263 0.1287  4 Dy 3.38-3.64, 2 Pr 3.60-3.62, 1 Pm 3.72
Pm2 0.0024 0.3737 0.3762  4 Dy 3.38-3.64, 2 Pr 3.60-3.62, 1 Pm 3.72
Pm3 0.9976 0.6263 0.6238  4 Dy 3.38-3.64, 2 Pr 3.60-3.62, 1 Pm 3.72
Pm4 0.9976 0.8737 0.8713  4 Dy 3.38-3.64, 2 Pr 3.60-3.62, 1 Pm 3.72
Pr1 0.4550 0.4550 0.0000  4 Dy 3.29-3.61, 2 Pm 3.62
Pr2 0.4550 0.9550 0.5000  4 Dy 3.29-3.61, 2 Pm 3.62
Pr3 0.5371 0.7953 0.2418  4 Dy 3.44-3.64, 2 Pm 3.60, 2 Pr 3.81
Pr4 0.5535 0.2953 0.7582  4 Dy 3.44-3.64, 2 Pm 3.60, 2 Pr 3.81
Dy1 0.0919 0.0993 0.4926  6 Dy 3.26-3.59, 2 Pr 3.44-3.64, 2 Pm 3.57
Dy2 0.1027 0.4790 0.9083  4 Dy 3.22-3.41, 1 Pm 3.40, 1 Pr 3.45
Dy3 0.1027 0.6944 0.1237  4 Dy 3.22-3.41, 1 Pm 3.40, 1 Pr 3.45
Dy4 0.4045 0.2010 0.3097  5 Dy 3.22-3.59, 1 Pr 3.29, 1 Pm 3.38
Dy5 0.4045 0.5947 0.7035  5 Dy 3.22-3.59, 1 Pr 3.29, 1 Pm 3.38
Dy6 0.5707 0.1944 0.0917  4 Dy 3.22-3.41, 1 Pm 3.40, 1 Pr 3.45
Dy7 0.5707 0.9790 0.8763  4 Dy 3.22-3.41, 1 Pm 3.40, 1 Pr 3.45
Dy8 0.6066 0.5993 0.5074  6 Dy 3.26-3.59, 2 Pr 3.44-3.64, 2 Pm 3.57
Dy9 0.8912 0.0947 0.6903  5 Dy 3.22-3.59, 1 Pr 3.29, 1 Pm 3.38
Dy10 0.8912 0.7010 0.2965  5 Dy 3.22-3.59, 1 Pr 3.29, 1 Pm 3.38

Properties
- Space group: Ima2
- V: 33.814 Å³ per atom
- Distance to the lowest polymorph of the same formula: 0.000 eV/atom

---

In the order shown, the computed DFT total energy values come out to -3.563; -4.077; -4.474 eV/atom.
In the order shown, the computed total moment values come out to 0.000; 1.615; 0.000 μB/cell.